(1)
Er4CI3Cl2 | PBE | optimized geometry

The mass density comes out at 6552 kg/m³. For the total magnetization, the calculation gives 0.03 μB/atom. The calculated total energy is -48.95 eV per formula unit.

The structure belongs to space group C2/m (No. 12); the cell edges are 18.126, 3.851 and 8.375 Å and the angles 90.00°, 100.85° and 90.00°. Symmetry generates all atoms from Er at (0.001, 0.000, 0.310), Er at (0.133, 0.500, 0.567), C at (0.000, 0.500, 0.500), I at (0.000, 0.500, 0.000), I at (0.174, 0.000, 0.313) and Cl at (0.150, 0.000, 0.799).

(2)
Pr2Er2CICl4 | PBE | optimized geometry

The mass density comes out at 5106 kg/m³. For the total magnetization, the calculation gives 0.00 μB/atom. The calculated total energy is -52.50 eV per formula unit.

The structure belongs to space group C2/m (No. 12); the cell edges are 17.177, 3.895 and 8.968 Å and the angles 90.00°, 103.48° and 90.00°. Symmetry generates all atoms from Pr at (0.001, 0.000, 0.304), Er at (0.142, 0.500, 0.569), C at (0.000, 0.500, 0.500), I at (0.000, 0.500, 0.000), Cl at (0.172, 0.000, 0.782) and Cl at (0.176, 0.000, 0.376).

Q: Which of these has the lowest mass density?
A: Pr2Er2CICl4